Entry from Alexandria: a relaxed structure of PrTm2OsN4 (GGA-PBE).

Computed properties:
The calculation puts the total energy at -8.276 eV per atom. The value obtained for the density is 10.466 Mg/m³. Its energy relative to the elements, uncorrected is -0.994 eV/atom. The density of states at the Fermi level is 10.574 states/eV/cell.

abc: 3.426 11.645 11.533
angles: 90.00 90.00 90.00
Space group Cmcm (No. 63)
Inequivalent atoms, fractional coordinates:
Pr  0.000  0.117  0.250 [4 per cell]
Tm  0.000  0.369  0.041 [8 per cell]
Os  0.000  0.144  0.750 [4 per cell]
N  0.000  0.000  0.000 [4 per cell]
N  0.000  0.264  0.624 [8 per cell]
N  0.000  0.441  0.250 [4 per cell]

=====

Entry from Alexandria: a relaxed structure of Na4NdHo3S8 (GGA-PBE).

Computed properties:
The calculation puts the total energy at -5.383 eV per atom. The value obtained for the density is 4.405 Mg/m³. Its energy relative to the elements, uncorrected is -1.833 eV/atom. The density of states at the Fermi level is 0.000 states/eV/cell.

abc: 8.0185 8.0185 20.0547
angles: 90.00 90.00 120.00
Space group R-3m (No. 166, hexagonal axes)
Inequivalent atoms, fractional coordinates:
Na  0.0000  0.0000  0.0000 [3 per cell]
Na  0.0000  0.5000  0.0000 [9 per cell]
Nd  0.0000  0.0000  0.5000 [3 per cell]
Ho  0.0000  0.5000  0.5000 [9 per cell]
S  0.0000  0.0000  0.2415 [6 per cell]
S  0.0084  0.5042  0.7572 [18 per cell]

=====

Entry from Alexandria: a relaxed structure of Th2Ni3Sn5 (GGA-PBE).

Computed properties:
The calculation puts the total energy at -5.637 eV per atom. The value obtained for the density is 9.318 Mg/m³. The density of states at the Fermi level is 20.255 states/eV/cell. For the formation energy, the calculation gives -0.417 eV/atom.

abc: 4.345 25.572 7.915
angles: 90.00 90.00 90.00
Space group Cmc2_1 (No. 36)
Inequivalent atoms, fractional coordinates:
Th  0.000  0.030  0.000 [4 per cell]
Th  0.000  0.328  0.955 [4 per cell]
Ni  0.000  0.106  0.307 [4 per cell]
Ni  0.000  0.277  0.422 [4 per cell]
Ni  0.000  0.461  0.153 [4 per cell]
Sn  0.000  0.093  0.631 [4 per cell]
Sn  0.000  0.187  0.118 [4 per cell]
Sn  0.000  0.222  0.719 [4 per cell]
Sn  0.000  0.378  0.393 [4 per cell]
Sn  0.000  0.450  0.812 [4 per cell]

=====

Entry from Alexandria: a relaxed structure of Zn2ReC (GGA-PBE).

Computed properties:
The calculation puts the total energy at -5.218 eV per atom. The value obtained for the density is 10.306 Mg/m³. The density of states at the Fermi level is 11.371 states/eV/cell. For the formation energy, the calculation gives 0.837 eV/atom.

abc: 7.156 7.156 4.141
angles: 90.00 90.00 90.00
Space group I-42d (No. 122)
Inequivalent atoms, fractional coordinates:
Zn  0.162  0.750  0.125 [8 per cell]
Re  0.000  0.000  0.500 [4 per cell]
C  0.000  0.000  0.000 [4 per cell]

=====

Entry from Alexandria: a relaxed structure of Dy2Y3Ru2 (GGA-PBE).

Computed properties:
The calculation puts the total energy at -7.050 eV per atom. The value obtained for the density is 7.263 Mg/m³. The density of states at the Fermi level is 11.188 states/eV/cell. For the formation energy, the calculation gives -0.314 eV/atom.

abc: 11.978 3.880 8.509
angles: 90.00 113.39 90.00
Space group C2/m (No. 12)
Inequivalent atoms, fractional coordinates:
Dy  0.166  0.000  0.312 [4 per cell]
Y  0.000  0.500  0.500 [2 per cell]
Y  0.121  0.500  0.928 [4 per cell]
Ru  0.180  0.000  0.720 [4 per cell]

=====

Entry from Alexandria: a relaxed structure of Ba5BiPb2 (GGA-PBE).

Computed properties:
The calculation puts the total energy at -3.272 eV per atom. The value obtained for the density is 6.014 Mg/m³. The density of states at the Fermi level is 9.236 states/eV/cell. For the formation energy, the calculation gives -0.658 eV/atom.

abc: 9.317 9.317 16.668
angles: 90.00 90.00 90.00
Space group I4/mcm (No. 140)
Inequivalent atoms, fractional coordinates:
Ba  0.000  0.000  0.000 [4 per cell]
Ba  0.170  0.330  0.145 [16 per cell]
Bi  0.000  0.000  0.250 [4 per cell]
Pb  0.122  0.378  0.500 [8 per cell]

=====

Entry from Alexandria: a relaxed structure of Co2AgAs (GGA-PBE).

Computed properties:
The calculation puts the total energy at -5.043 eV per atom. The value obtained for the density is 8.520 Mg/m³. The density of states at the Fermi level is 19.590 states/eV/cell. For the formation energy, the calculation gives 0.385 eV/atom.

abc: 6.694 6.694 5.231
angles: 90.00 90.00 90.00
Space group I-42d (No. 122)
Inequivalent atoms, fractional coordinates:
Co  0.202  0.250  0.125 [8 per cell]
Ag  0.000  0.000  0.500 [4 per cell]
As  0.000  0.000  0.000 [4 per cell]

=====

Entry from Alexandria: a relaxed structure of LaBe4Cu (GGA-PBE).

Computed properties:
The calculation puts the total energy at -3.667 eV per atom. The value obtained for the density is 4.832 Mg/m³. The density of states at the Fermi level is 23.078 states/eV/cell. For the formation energy, the calculation gives 0.321 eV/atom.

abc: 6.895 6.895 6.895
angles: 90.00 90.00 90.00
Space group F-43m (No. 216)
Inequivalent atoms, fractional coordinates:
La  0.000  0.000  0.000 [4 per cell]
Be  0.120  0.120  0.380 [16 per cell]
Cu  0.250  0.250  0.750 [4 per cell]

=====

Entry from Alexandria: a relaxed structure of Rb2DyU2S6 (GGA-PBE).

Computed properties:
The calculation puts the total energy at -6.479 eV per atom. The value obtained for the density is 4.998 Mg/m³. Its energy relative to the elements, uncorrected is -1.581 eV/atom. The density of states at the Fermi level is 20.219 states/eV/cell.

abc: 6.981 12.101 8.207
angles: 90.00 106.18 90.00
Space group C2/m (No. 12)
Inequivalent atoms, fractional coordinates:
Rb  0.000  0.166  0.000 [4 per cell]
Dy  0.000  0.000  0.500 [2 per cell]
U  0.000  0.334  0.500 [4 per cell]
S  0.228  0.169  0.686 [8 per cell]
S  0.228  0.500  0.687 [4 per cell]

=====

Entry from Alexandria: a relaxed structure of HfPa2Mn (GGA-PBE).

Computed properties:
The calculation puts the total energy at -9.391 eV per atom. The value obtained for the density is 13.683 Mg/m³. The density of states at the Fermi level is 8.189 states/eV/cell. For the formation energy, the calculation gives 0.138 eV/atom.

abc: 3.123 3.123 8.653
angles: 90.00 90.00 90.00
Space group P4/mmm (No. 123)
Inequivalent atoms, fractional coordinates:
Hf  0.000  0.000  0.000 [1 per cell]
Pa  0.500  0.500  0.295 [2 per cell]
Mn  0.000  0.000  0.500 [1 per cell]

=====

Entry from Alexandria: a relaxed structure of Ac3GaC (GGA-PBE).

Computed properties:
The calculation puts the total energy at -4.969 eV per atom. The value obtained for the density is 7.980 Mg/m³. The density of states at the Fermi level is 2.672 states/eV/cell. For the formation energy, the calculation gives -0.054 eV/atom.

abc: 5.414 5.414 5.414
angles: 90.00 90.00 90.00
Space group Pm-3m (No. 221)
Inequivalent atoms, fractional coordinates:
Ac  0.000  0.000  0.500 [3 per cell]
Ga  0.500  0.500  0.500 [1 per cell]
C  0.000  0.000  0.000 [1 per cell]

=====

Entry from Alexandria: a relaxed structure of Er2LuSn (GGA-PBE).

Computed properties:
The calculation puts the total energy at -4.802 eV per atom. The value obtained for the density is 9.726 Mg/m³. The density of states at the Fermi level is 4.961 states/eV/cell. For the formation energy, the calculation gives -0.390 eV/atom.

abc: 4.749 4.749 4.756
angles: 90.00 90.00 90.00
Space group P4/mmm (No. 123)
Inequivalent atoms, fractional coordinates:
Er  0.000  0.500  0.000 [2 per cell]
Lu  0.000  0.000  0.500 [1 per cell]
Sn  0.500  0.500  0.500 [1 per cell]

=====

Entry from Alexandria: a relaxed structure of HoErLu (GGA-PBE).

Computed properties:
The calculation puts the total energy at -4.470 eV per atom. The value obtained for the density is 9.350 Mg/m³. The density of states at the Fermi level is 5.798 states/eV/cell. For the formation energy, the calculation gives 0.084 eV/atom.

abc: 5.5141 5.5141 3.4205
angles: 90.00 90.00 120.00
Space group P3m1 (No. 156)
Inequivalent atoms, fractional coordinates:
Ho  0.0000  0.0000  0.0000 [1 per cell]
Er  0.6667  0.3333  0.4993 [1 per cell]
Lu  0.3333  0.6667  0.5009 [1 per cell]

=====

Entry from Alexandria: a relaxed structure of Cs2LiH2 (GGA-PBE).

Computed properties:
The calculation puts the total energy at -1.966 eV per atom. The value obtained for the density is 3.034 Mg/m³. The density of states at the Fermi level is 0.009 states/eV/cell.

abc: 8.482 8.482 4.180
angles: 90.00 90.00 90.00
Space group P4/mbm (No. 127)
Inequivalent atoms, fractional coordinates:
Cs  0.153  0.347  0.000 [4 per cell]
Li  0.000  0.000  0.500 [2 per cell]
H  0.159  0.659  0.500 [4 per cell]

=====

Entry from Alexandria: a relaxed structure of K2OsCl2 (GGA-PBE).

Computed properties:
The calculation puts the total energy at -3.686 eV per atom. The value obtained for the density is 3.399 Mg/m³. Its energy relative to the elements, uncorrected is -0.262 eV/atom. The density of states at the Fermi level is 11.831 states/eV/cell.

abc: 6.344 6.344 8.238
angles: 90.00 90.00 90.00
Space group I4/mmm (No. 139)
Inequivalent atoms, fractional coordinates:
K  0.000  0.500  0.250 [4 per cell]
Os  0.000  0.000  0.000 [2 per cell]
Cl  0.000  0.000  0.277 [4 per cell]

=====

Entry from Alexandria: a relaxed structure of Ce2Tl2H (GGA-PBE).

Computed properties:
The calculation puts the total energy at -4.162 eV per atom. The value obtained for the density is 9.029 Mg/m³. The density of states at the Fermi level is 45.552 states/eV/cell.

abc: 3.659 21.074 6.583
angles: 90.00 90.00 90.00
Space group Cmc2_1 (No. 36)
Inequivalent atoms, fractional coordinates:
Ce  0.000  0.113  0.000 [4 per cell]
Ce  0.000  0.366  0.014 [4 per cell]
Tl  0.000  0.258  0.654 [4 per cell]
Tl  0.000  0.498  0.749 [4 per cell]
H  0.000  0.125  0.331 [4 per cell]

=====

Entry from Alexandria: a relaxed structure of Y2CuHg (GGA-PBE).

Computed properties:
The calculation puts the total energy at -4.698 eV per atom. The value obtained for the density is 7.783 Mg/m³. The density of states at the Fermi level is 3.732 states/eV/cell. For the formation energy, the calculation gives -0.366 eV/atom.

abc: 3.553 3.553 7.470
angles: 90.00 90.00 90.00
Space group P4/mmm (No. 123)
Inequivalent atoms, fractional coordinates:
Y  0.000  0.000  0.228 [2 per cell]
Cu  0.500  0.500  0.000 [1 per cell]
Hg  0.500  0.500  0.500 [1 per cell]

=====

Entry from Alexandria: a relaxed structure of SiW2 (GGA-PBE).

Computed properties:
The calculation puts the total energy at -10.468 eV per atom. The value obtained for the density is 14.324 Mg/m³. Its energy relative to the elements, uncorrected is -0.025 eV/atom. The density of states at the Fermi level is 6.924 states/eV/cell.

abc: 9.391 3.236 6.227
angles: 90.00 104.13 90.00
Space group Cm (No. 8)
Inequivalent atoms, fractional coordinates:
Si  0.000  0.000  0.000 [2 per cell]
Si  0.234  0.500  0.399 [2 per cell]
W  0.059  0.000  0.602 [2 per cell]
W  0.199  0.500  0.972 [2 per cell]
W  0.355  0.000  0.719 [2 per cell]
W  0.431  0.000  0.259 [2 per cell]

=====

Entry from Alexandria: a relaxed structure of Ce6ErTe8 (GGA-PBE).

Computed properties:
The calculation puts the total energy at -5.728 eV per atom. The value obtained for the density is 6.651 Mg/m³. Its energy relative to the elements, uncorrected is -1.375 eV/atom. The density of states at the Fermi level is 173.807 states/eV/cell.

abc: 12.653 12.653 12.653
angles: 90.00 90.00 90.00
Space group Fm-3m (No. 225)
Inequivalent atoms, fractional coordinates:
Ce  0.000  0.250  0.250 [24 per cell]
Er  0.000  0.000  0.000 [4 per cell]
Te  0.000  0.000  0.247 [24 per cell]
Te  0.250  0.250  0.250 [8 per cell]

=====

Entry from Alexandria: a relaxed structure of Nd8Co3CCl3 (GGA-PBE).

Computed properties:
The calculation puts the total energy at -5.578 eV per atom. The value obtained for the density is 6.018 Mg/m³. Its energy relative to the elements, uncorrected is -0.630 eV/atom. The density of states at the Fermi level is 20.772 states/eV/cell.

abc: 13.733 7.939 8.649
angles: 90.00 122.00 90.00
Space group C2/m (No. 12)
Inequivalent atoms, fractional coordinates:
Nd  0.016  0.240  0.307 [8 per cell]
Nd  0.225  0.000  0.694 [4 per cell]
Nd  0.236  0.500  0.707 [4 per cell]
Co  0.000  0.500  0.500 [2 per cell]
Co  0.250  0.250  0.500 [4 per cell]
C  0.000  0.000  0.500 [2 per cell]
Cl  0.000  0.000  0.000 [2 per cell]
Cl  0.250  0.250  0.000 [4 per cell]